First-principles (PBE-GGA) data for an optimized crystal structure of Hf3NiBi, as listed in Alexandria via LeMat-Bulk.

Cell: 4.861 4.861 4.861 Å, 90.00 90.00 90.00°
Space group Pm-3m (No. 221)
Asymmetric unit:
Hf: 0.000 0.000 0.500 x3
Ni: 0.000 0.000 0.000 x1
Bi: 0.500 0.500 0.500 x1

Uncorrected energy ... -39.44 eV for the cell shown
Energy above the lowest structure with this stoichiometry ... 279 meV/atom
Density ... 11.6 Mg/m³
DFT formation energy ... 17 meV/atom